DFT (PBE-GGA) results for an optimized crystal structure of Hg4BrCl.

- VASP energy: -0.79 eV per atom
- Total moment: 0.0 μB/cell
- Density of states at the Fermi level: 1.0937 states/eV/atom
- ΔE_f (raw): 0.0010 eV per atom

The structure in CIF format:
```
data_Hg4BrCl
_space_group_name_H-M_alt 'F -4 3 m'
_space_group_IT_number 216
_space_group_name_Hall 'F -4 2 3'
_cell_length_a 8.591
_cell_length_b 8.591
_cell_length_c 8.591
_cell_angle_alpha 90.00
_cell_angle_beta 90.00
_cell_angle_gamma 90.00
loop_
_atom_site_label
_atom_site_type_symbol
_atom_site_fract_x
_atom_site_fract_y
_atom_site_fract_z
_atom_site_occupancy
Hg1 Hg 0.125 0.125 0.125 1
Br1 Br 0.250 0.250 0.750 1
Cl1 Cl 0.000 0.000 0.500 1
```

DFT (PBE-GGA) results for an optimized crystal structure of TcOs.

- VASP energy: -9.48 eV per atom
- Total moment: 0.0 μB/cell
- Density of states at the Fermi level: 0.7929 states/eV/atom

The structure in CIF format:
```
data_TcOs
_space_group_name_H-M_alt 'F -4 3 m'
_space_group_IT_number 216
_space_group_name_Hall 'F -4 2 3'
_cell_length_a 5.568
_cell_length_b 5.568
_cell_length_c 5.568
_cell_angle_alpha 90.00
_cell_angle_beta 90.00
_cell_angle_gamma 90.00
loop_
_atom_site_label
_atom_site_type_symbol
_atom_site_fract_x
_atom_site_fract_y
_atom_site_fract_z
_atom_site_occupancy
Tc1 Tc 0.000 0.000 0.000 1
Os1 Os 0.250 0.250 0.750 1
```

DFT (PBE-GGA) results for an optimized crystal structure of Al2CI.

- VASP energy: -2.98 eV per atom
- Total moment: 0.0 μB/cell
- Density of states at the Fermi level: 0.5007 states/eV/atom
- ΔE_f (raw): 1.5872 eV per atom

The structure in CIF format:
```
data_Al2CI
_space_group_name_H-M_alt 'F m -3 m'
_space_group_IT_number 225
_space_group_name_Hall '-F 4 2 3'
_cell_length_a 6.574
_cell_length_b 6.574
_cell_length_c 6.574
_cell_angle_alpha 90.00
_cell_angle_beta 90.00
_cell_angle_gamma 90.00
loop_
_atom_site_label
_atom_site_type_symbol
_atom_site_fract_x
_atom_site_fract_y
_atom_site_fract_z
_atom_site_occupancy
Al1 Al 0.250 0.250 0.250 1
C1 C 0.000 0.000 0.000 1
I1 I 0.000 0.000 0.500 1
```

DFT (PBE-GGA) results for an optimized crystal structure of Ca2GaCuO5.

- VASP energy: -5.92 eV per atom
- Total moment: 8.0 μB/cell
- Density of states at the Fermi level: 0.0992 states/eV/atom
- ΔE_f (raw): -1.9248 eV per atom

The structure in CIF format:
```
data_Ca2GaCuO5
_space_group_name_H-M_alt 'C m c 21'
_space_group_IT_number 36
_space_group_name_Hall 'C 2c -2'
_cell_length_a 3.225
_cell_length_b 12.991
_cell_length_c 10.334
_cell_angle_alpha 90.00
_cell_angle_beta 90.00
_cell_angle_gamma 90.00
loop_
_atom_site_label
_atom_site_type_symbol
_atom_site_fract_x
_atom_site_fract_y
_atom_site_fract_z
_atom_site_occupancy
Ca1 Ca 0.000 0.097 0.000 1
Ca2 Ca 0.000 0.142 0.643 1
Ga1 Ga 0.000 0.453 0.786 1
Cu1 Cu 0.000 0.224 0.370 1
O1 O 0.000 0.063 0.381 1
O2 O 0.000 0.272 0.001 1
O3 O 0.000 0.303 0.748 1
O4 O 0.000 0.378 0.333 1
O5 O 0.000 0.499 0.618 1
```

DFT (PBE-GGA) results for an optimized crystal structure of TbMgNiRh.

- VASP energy: -5.31 eV per atom
- Total moment: 0.0 μB/cell
- Density of states at the Fermi level: 0.8304 states/eV/atom

The structure in CIF format:
```
data_TbMgNiRh
_space_group_name_H-M_alt 'F -4 3 m'
_space_group_IT_number 216
_space_group_name_Hall 'F -4 2 3'
_cell_length_a 6.552
_cell_length_b 6.552
_cell_length_c 6.552
_cell_angle_alpha 90.00
_cell_angle_beta 90.00
_cell_angle_gamma 90.00
loop_
_atom_site_label
_atom_site_type_symbol
_atom_site_fract_x
_atom_site_fract_y
_atom_site_fract_z
_atom_site_occupancy
Tb1 Tb 0.000 0.000 0.000 1
Mg1 Mg 0.000 0.000 0.500 1
Ni1 Ni 0.250 0.250 0.250 1
Rh1 Rh 0.250 0.250 0.750 1
```

DFT (PBE-GGA) results for an optimized crystal structure of Sm2Co3As4Ir.

- VASP energy: -6.57 eV per atom
- Total moment: 0.7 μB/cell
- Density of states at the Fermi level: 0.5739 states/eV/atom

The structure in CIF format:
```
data_Sm2Co3As4Ir
_space_group_name_H-M_alt 'P -4 m 2'
_space_group_IT_number 115
_space_group_name_Hall 'P -4 -2'
_cell_length_a 4.178
_cell_length_b 4.178
_cell_length_c 9.527
_cell_angle_alpha 90.00
_cell_angle_beta 90.00
_cell_angle_gamma 90.00
loop_
_atom_site_label
_atom_site_type_symbol
_atom_site_fract_x
_atom_site_fract_y
_atom_site_fract_z
_atom_site_occupancy
Sm1 Sm 0.000 0.500 0.243 1
Co1 Co 0.000 0.500 0.887 1
Co2 Co 0.500 0.500 0.500 1
As1 As 0.000 0.000 0.000 1
As2 As 0.000 0.500 0.643 1
As3 As 0.500 0.500 0.000 1
Ir1 Ir 0.000 0.000 0.500 1
```

DFT (PBE-GGA) results for an optimized crystal structure of PrMgS2O8.

- VASP energy: -6.38 eV per atom
- Total moment: 0.5 μB/cell
- Density of states at the Fermi level: 0.2737 states/eV/atom
- ΔE_f (raw): -1.8528 eV per atom

The structure in CIF format:
```
data_PrMgS2O8
_space_group_name_H-M_alt 'P -3 m 1'
_space_group_IT_number 164
_space_group_name_Hall '-P 3 2"'
_cell_length_a 5.2206
_cell_length_b 5.2206
_cell_length_c 6.9145
_cell_angle_alpha 90.00
_cell_angle_beta 90.00
_cell_angle_gamma 120.00
loop_
_atom_site_label
_atom_site_type_symbol
_atom_site_fract_x
_atom_site_fract_y
_atom_site_fract_z
_atom_site_occupancy
Pr1 Pr 0.0000 0.0000 0.0000 1
Mg1 Mg 0.0000 0.0000 0.5000 1
S1 S 0.3333 0.6667 0.2381 1
O1 O 0.1757 0.3514 0.3053 1
O2 O 0.3333 0.6667 0.0231 1
```

DFT (PBE-GGA) results for an optimized crystal structure of La2Si2Tc.

- VASP energy: -5.74 eV per atom
- Total moment: 0.0 μB/cell
- Density of states at the Fermi level: 1.5700 states/eV/atom
- ΔE_f (raw): 0.4783 eV per atom

The structure in CIF format:
```
data_La2Si2Tc
_space_group_name_H-M_alt 'P 4/m b m'
_space_group_IT_number 127
_space_group_name_Hall '-P 4 2ab'
_cell_length_a 7.921
_cell_length_b 7.921
_cell_length_c 3.853
_cell_angle_alpha 90.00
_cell_angle_beta 90.00
_cell_angle_gamma 90.00
loop_
_atom_site_label
_atom_site_type_symbol
_atom_site_fract_x
_atom_site_fract_y
_atom_site_fract_z
_atom_site_occupancy
La1 La 0.135 0.365 0.000 1
Si1 Si 0.173 0.673 0.500 1
Tc1 Tc 0.000 0.000 0.000 1
```